[1]
The following is a DFT calculation (SCAN) of a crystal of Rb3FeN relaxed with PBEsol.

Computed properties:
Formation energy without anion corrections   878 meV per atom
Space group   Pm-3m
Crystal system   cubic

Cell: 5.680 5.680 5.680 Å, 90.00 90.00 90.00°
Sites, in units of the cell vectors:
Rb1 0.000 0.000 0.500
Rb2 0.000 0.500 0.000
Rb3 0.500 0.000 0.000
Fe1 0.500 0.500 0.500
N1 0.000 0.000 0.000

---

[2]
The following is a DFT calculation (SCAN) of a crystal of RbFeS2N relaxed with PBEsol.

Computed properties:
Formation energy without anion corrections   2109 meV per atom
Space group   P4/mmm
Crystal system   tetragonal

Cell: 5.339 5.339 4.457 Å, 90.00 90.00 90.00°
Sites, in units of the cell vectors:
Rb1 0.000 0.000 0.000
Fe1 0.500 0.500 0.500
S1 0.000 0.500 0.000
S2 0.500 0.000 0.000
N1 0.000 0.000 0.500

---

[3]
The following is a DFT calculation (SCAN) of a crystal of RbFeTe2N relaxed with PBEsol.

Computed properties:
Formation energy without anion corrections   4 meV per atom
Space group   P4/mmm
Crystal system   tetragonal

Cell: 5.771 5.771 3.416 Å, 90.00 90.00 90.00°
Sites, in units of the cell vectors:
Rb1 0.000 0.000 0.000
Fe1 0.500 0.500 0.500
Te1 0.000 0.500 0.500
Te2 0.500 0.000 0.500
N1 0.500 0.500 0.000

---

[4]
The following is a DFT calculation (SCAN) of a crystal of FeReSe2N relaxed with PBEsol.

Computed properties:
Formation energy without anion corrections   579 meV per atom
Space group   P4/mmm
Crystal system   tetragonal

Cell: 4.964 4.964 3.690 Å, 90.00 90.00 90.00°
Sites, in units of the cell vectors:
Fe1 0.000 0.000 0.000
Re1 0.500 0.500 0.500
Se1 0.000 0.500 0.500
Se2 0.500 0.000 0.500
N1 0.500 0.500 0.000

---

[5]
The following is a DFT calculation (SCAN) of a crystal of FeTeRhN2 relaxed with PBEsol.

Computed properties:
Formation energy without anion corrections   890 meV per atom
Space group   P4/mmm
Crystal system   tetragonal

Cell: 3.578 3.578 5.513 Å, 90.00 90.00 90.00°
Sites, in units of the cell vectors:
Fe1 0.000 0.000 0.000
Te1 0.000 0.000 0.500
Rh1 0.500 0.500 0.500
N1 0.000 0.500 0.000
N2 0.500 0.000 0.000

---

[6]
The following is a DFT calculation (SCAN) of a crystal of FeRuN2 relaxed with PBEsol.

Computed properties:
Polymorph energy (0 for the lowest one)   0.00 eV per formula unit
Formation energy without anion corrections   2 meV per atom
Space group   I-42d
Crystal system   tetragonal

Cell: 5.267 5.267 5.267 Å, 131.01 131.01 71.79°
Sites, in units of the cell vectors:
Fe1 0.000 0.000 0.000
Fe2 0.750 0.250 0.500
Ru1 0.250 0.750 0.500
Ru2 0.500 0.500 0.000
N1 0.096 0.625 0.971
N2 0.375 0.346 0.471
N3 0.654 0.125 0.029
N4 0.875 0.904 0.529

---

[7]
The following is a DFT calculation (SCAN) of a crystal of FeRuN2 relaxed with PBEsol.

Computed properties:
Polymorph energy (0 for the lowest one)   1.78 eV per formula unit
Formation energy without anion corrections   447 meV per atom
Space group   R-3m
Crystal system   trigonal

Cell: 6.356 6.356 6.356 Å, 24.85 24.85 24.85°
Sites, in units of the cell vectors:
Fe1 0.000 0.000 0.000
Ru1 0.500 0.500 0.500
N1 0.096 0.096 0.096
N2 0.904 0.904 0.904

---

[8]
The following is a DFT calculation (SCAN) of a crystal of FeRuSe2N relaxed with PBEsol.

Computed properties:
Formation energy without anion corrections   662 meV per atom
Space group   P4/mmm
Crystal system   tetragonal

Cell: 4.697 4.697 3.274 Å, 90.00 90.00 90.00°
Sites, in units of the cell vectors:
Fe1 0.000 0.000 0.000
Ru1 0.500 0.500 0.500
Se1 0.000 0.500 0.000
Se2 0.500 0.000 0.000
N1 0.000 0.000 0.500

---

[9]
The following is a DFT calculation (SCAN) of a crystal of Fe3SN relaxed with PBEsol.

Computed properties:
Formation energy without anion corrections   31 meV per atom
Space group   Pm-3m
Crystal system   cubic

Cell: 3.762 3.762 3.762 Å, 90.00 90.00 90.00°
Sites, in units of the cell vectors:
Fe1 0.000 0.000 0.500
Fe2 0.000 0.500 0.000
Fe3 0.500 0.000 0.000
S1 0.500 0.500 0.500
N1 0.000 0.000 0.000

---

[10]
The following is a DFT calculation (SCAN) of a crystal of FeSnSN2 relaxed with PBEsol.

Computed properties:
Formation energy without anion corrections   784 meV per atom
Space group   P4/mmm
Crystal system   tetragonal

Cell: 3.684 3.684 4.742 Å, 90.00 90.00 90.00°
Sites, in units of the cell vectors:
Fe1 0.000 0.000 0.000
Sn1 0.500 0.500 0.500
S1 0.000 0.000 0.500
N1 0.000 0.500 0.000
N2 0.500 0.000 0.000

---

[11]
The following is a DFT calculation (SCAN) of a crystal of TaFeS2N relaxed with PBEsol.

Computed properties:
Formation energy without anion corrections   39 meV per atom
Space group   P4/mmm
Crystal system   tetragonal

Cell: 4.828 4.828 3.842 Å, 90.00 90.00 90.00°
Sites, in units of the cell vectors:
Ta1 0.000 0.000 0.000
Fe1 0.500 0.500 0.500
S1 0.000 0.500 0.000
S2 0.500 0.000 0.000
N1 0.000 0.000 0.500

---

[12]
The following is a DFT calculation (SCAN) of a crystal of ZnFeSN2 relaxed with PBEsol.

Computed properties:
Formation energy without anion corrections   1374 meV per atom
Space group   P4/mmm
Crystal system   tetragonal

Cell: 3.670 3.670 5.209 Å, 90.00 90.00 90.00°
Sites, in units of the cell vectors:
Zn1 0.000 0.000 0.000
Fe1 0.500 0.500 0.500
S1 0.000 0.000 0.500
N1 0.000 0.500 0.000
N2 0.500 0.000 0.000